[1]
Material: ZrAlMo3
Method: DFT, PBE
State: relaxed

Output
D(E_F), states/eV/f.u.: 7.60
Energy of formation, meV/atom: 1114
Polymorph energy (0 for the lowest one), kJ per mole of atoms: 0.0
Space-group type: No. 221
Spin magnetization, μB/f.u.: 0.0

abc: 4.5872 4.5872 4.5872
angles: 90.00 90.00 90.00
With the nearest neighbours (Å) after each atom.
Fractional coordinates of all 5 atoms:
1 Mo 0.0000 0.5000 0.0000  2 Al 2.29
2 Mo 0.0000 0.0000 0.5000  2 Al 2.29
3 Mo 0.5000 0.0000 0.0000  2 Al 2.29
4 Al 0.0000 0.0000 0.0000  6 Mo 2.29
5 Zr 0.5000 0.5000 0.5000  12 Mo 3.24

***

[2]
Material: Zr2AlMo
Method: DFT, PBE
State: relaxed

Output
D(E_F), states/eV/f.u.: 4.09
Energy of formation, meV/atom: -254
Space-group type: No. 123
Spin magnetization, μB/f.u.: 0.0

abc: 4.5951 3.6071 4.5955
angles: 90.00 90.00 90.00
With the nearest neighbours (Å) after each atom.
Fractional coordinates of all 4 atoms:
1 Mo 0.5000 0.6249 0.8749  8 Zr 2.92, 4 Al 3.25
2 Al 0.0000 0.6250 0.3752  8 Zr 2.92, 4 Mo 3.25
3 Zr 0.0000 0.1250 0.8750  4 Al 2.92, 4 Mo 2.92, 4 Zr 3.25
4 Zr 0.5000 0.1250 0.3749  4 Mo 2.92, 4 Al 2.92, 4 Zr 3.25

***

[3]
Material: Zr2AlMo
Method: DFT, PBE
State: relaxed

Output
D(E_F), states/eV/f.u.: 3.23
Energy of formation, meV/atom: 347
Space-group type: No. 122
Spin magnetization, μB/f.u.: 0.0

abc: 7.6023 7.6023 6.0709
angles: 51.24 51.24 90.00
With the nearest neighbours (Å) after each atom.
Fractional coordinates of all 8 atoms:
1 Mo 0.0000 0.0000 0.0000  4 Zr 2.69, 2 Al 2.82
2 Mo 0.7500 0.2500 0.5000  4 Zr 2.69, 2 Al 2.82
3 Al 0.5000 0.5000 0.0000  2 Mo 2.82, 4 Zr 2.87
4 Al 0.2500 0.7500 0.5000  2 Mo 2.82, 4 Zr 2.87
5 Zr 0.6429 0.1250 0.2500  2 Mo 2.69, 2 Zr 2.83, 2 Al 2.87
6 Zr 0.1071 0.6250 0.2500  2 Mo 2.69, 2 Zr 2.83, 2 Al 2.87
7 Zr 0.3750 0.3571 0.7500  2 Mo 2.69, 2 Zr 2.83, 2 Al 2.87
8 Zr 0.8750 0.8929 0.7500  2 Mo 2.69, 2 Zr 2.83, 2 Al 2.87

***

[4]
Material: ZrAlMo2
Method: DFT, PBE
State: relaxed

Output
D(E_F), states/eV/f.u.: 4.26
Energy of formation, meV/atom: -7
Space-group type: No. 65
Spin magnetization, μB/f.u.: 0.0

abc: 2.8113 2.8113 8.9254
angles: 90.00 90.00 105.34
With the nearest neighbours (Å) after each atom.
Fractional coordinates of all 4 atoms:
1 Mo 0.0000 0.0000 0.9807  2 Al 2.67, 4 Mo 2.81, 2 Zr 2.95
2 Mo 0.0000 0.0000 0.5193  2 Al 2.67, 4 Mo 2.81, 2 Zr 2.95
3 Al 0.5000 0.5000 0.7500  4 Mo 2.67, 4 Al 2.81
4 Zr 0.5000 0.5000 0.2500  4 Zr 2.81, 4 Mo 2.95

***

Repeat the second record exactly.
Material: Zr2AlMo
Method: DFT, PBE
State: relaxed

Output
D(E_F), states/eV/f.u.: 4.09
Energy of formation, meV/atom: -254
Space-group type: No. 123
Spin magnetization, μB/f.u.: 0.0

abc: 4.5951 3.6071 4.5955
angles: 90.00 90.00 90.00
With the nearest neighbours (Å) after each atom.
Fractional coordinates of all 4 atoms:
1 Mo 0.5000 0.6249 0.8749  8 Zr 2.92, 4 Al 3.25
2 Al 0.0000 0.6250 0.3752  8 Zr 2.92, 4 Mo 3.25
3 Zr 0.0000 0.1250 0.8750  4 Al 2.92, 4 Mo 2.92, 4 Zr 3.25
4 Zr 0.5000 0.1250 0.3749  4 Mo 2.92, 4 Al 2.92, 4 Zr 3.25

***

> Among the records above, which one has the lowest energy of formation?

number 2